Record 1
Here is crystalline TlTcBiC2 at its relaxed geometry from Alexandria. Energies are from GGA-PBEsol.

a = 4.2730 Å, b = 4.2730 Å, c = 5.3278 Å
α = 90.00°, β = 90.00°, γ = 90.00°
Element x y z (fractional)
1 Tl 0.0000 0.0000 0.0000
2 Tc 0.0000 0.0000 0.5000
3 Bi 0.5000 0.5000 0.5000
4 C 0.0000 0.5000 0.0000
5 C 0.5000 0.0000 0.0000

---

Record 2
Here is crystalline TiBiC3 at its relaxed geometry from Alexandria. Energies are from GGA-PBEsol.

a = 4.3049 Å, b = 4.3049 Å, c = 4.3049 Å
α = 90.00°, β = 90.00°, γ = 90.00°
Element x y z (fractional)
1 Ti 0.0000 0.0000 0.0000
2 Bi 0.5000 0.5000 0.5000
3 C 0.0000 0.5000 0.5000
4 C 0.5000 0.0000 0.5000
5 C 0.5000 0.5000 0.0000

---

Record 3
Here is crystalline TiBi2WC at its relaxed geometry from Alexandria. Energies are from GGA-PBEsol.

a = 4.8733 Å, b = 4.8733 Å, c = 3.9260 Å
α = 90.00°, β = 90.00°, γ = 90.00°
Element x y z (fractional)
1 Ti 0.0000 0.0000 0.0000
2 Bi 0.0000 0.5000 0.5000
3 Bi 0.5000 0.0000 0.5000
4 W 0.5000 0.5000 0.0000
5 C 0.0000 0.0000 0.5000

---

Record 4
Here is crystalline YBiC3 at its relaxed geometry from Alexandria. Energies are from GGA-PBEsol.

a = 4.4186 Å, b = 4.4186 Å, c = 4.4186 Å
α = 90.00°, β = 90.00°, γ = 90.00°
Element x y z (fractional)
1 Y 0.0000 0.0000 0.0000
2 Bi 0.5000 0.5000 0.5000
3 C 0.0000 0.0000 0.5000
4 C 0.0000 0.5000 0.0000
5 C 0.5000 0.0000 0.0000

---

Respective calculated total energy values: -22.82 -25.99 -35.26 -28.15 eV/cell.
Respective size of the total moment values: 0.5511 0.0027 0.0001 0.0000 μB per atom.
Respective ΔH_f (0 K) values: 2.930 3.110 1.018 2.377 eV/atom.